[1]
Computed, not measured: Y3Er2S4 after structural relaxation at the PBE level of DFT. Values from VASP.

Summary:
Electronic total energy in eV/atom: -6.760
DOS at the Fermi energy in states/eV/cell: 5.641
ΔE_f (raw) in meV per atom: -1756
Density in g/cm3: 5.96

```
&SYSTEM
  ibrav = 0, nat = 9, ntyp = 3
/
ATOMIC_SPECIES
Y 88.91 Y.upf
Er 167.26 Er.upf
S 32.06 S.upf
CELL_PARAMETERS angstrom
-3.032 -2.253 -0.716
3.031 -1.405 1.902
-6.570 4.460 13.757
ATOMIC_POSITIONS crystal
Y 0.334 0.666 0.591
Er 0.667 0.333 0.795
S 0.334 0.666 0.896
Y 0.666 0.334 0.409
Er 0.333 0.667 0.205
Y 0.000 0.000 0.000
S 0.000 0.000 0.303
S 0.666 0.334 0.104
S 0.000 0.000 0.697
```

=====

[2]
Computed, not measured: YEr4S6 after structural relaxation at the PBE level of DFT. Values from VASP.

Summary:
Electronic total energy in eV/atom: -6.522
DOS at the Fermi energy in states/eV/cell: 5.321
ΔE_f (raw) in meV per atom: -2024
Density in g/cm3: 6.63

```
&SYSTEM
  ibrav = 0, nat = 22, ntyp = 3
/
ATOMIC_SPECIES
S 32.06 S.upf
Er 167.26 Er.upf
Y 88.91 Y.upf
CELL_PARAMETERS angstrom
3.800 0.000 0.000
-1.900 6.369 0.000
0.000 0.000 19.685
ATOMIC_POSITIONS crystal
S 0.050 0.099 0.334
Er 0.861 0.723 0.960
Er 0.139 0.277 0.040
S 0.050 0.099 0.166
S 0.500 0.000 0.000
S 0.500 0.000 0.500
Y 0.651 0.303 0.250
Er 0.408 0.817 0.127
Er 0.592 0.183 0.627
S 0.308 0.617 0.250
Er 0.408 0.817 0.373
Er 0.592 0.183 0.873
S 0.769 0.539 0.088
S 0.950 0.901 0.666
S 0.231 0.461 0.588
S 0.769 0.539 0.412
Er 0.139 0.277 0.460
Er 0.861 0.723 0.540
S 0.950 0.901 0.834
Y 0.349 0.697 0.750
S 0.692 0.383 0.750
S 0.231 0.461 0.912
```

=====

[3]
Computed, not measured: Y5ErS6 after structural relaxation at the PBE level of DFT. Values from VASP.

Summary:
Electronic total energy in eV/atom: -7.130
DOS at the Fermi energy in states/eV/cell: 4.409
ΔE_f (raw) in meV per atom: -1992
Density in g/cm3: 5.27

```
&SYSTEM
  ibrav = 0, nat = 12, ntyp = 3
/
ATOMIC_SPECIES
S 32.06 S.upf
Y 88.91 Y.upf
Er 167.26 Er.upf
CELL_PARAMETERS angstrom
-3.563 -3.434 -4.610
-6.019 -1.709 2.586
-5.293 4.182 -0.693
ATOMIC_POSITIONS crystal
S 0.248 0.917 0.670
Y 0.000 0.333 0.334
S 0.751 0.753 0.000
S 0.752 0.083 0.330
Y 0.500 0.500 0.000
Y 0.000 0.667 0.666
Y 0.500 0.168 0.663
S 0.752 0.413 0.670
Er 0.000 0.000 0.000
S 0.249 0.247 0.000
Y 0.500 0.832 0.337
S 0.248 0.587 0.330
```

=====

[4]
Computed, not measured: Y3ErS6 after structural relaxation at the PBE level of DFT. Values from VASP.

Summary:
Electronic total energy in eV/atom: -6.940
DOS at the Fermi energy in states/eV/cell: 0.000
ΔE_f (raw) in meV per atom: -2068
Density in g/cm3: 4.03

```
&SYSTEM
  ibrav = 0, nat = 20, ntyp = 3
/
ATOMIC_SPECIES
S 32.06 S.upf
Y 88.91 Y.upf
Er 167.26 Er.upf
CELL_PARAMETERS angstrom
8.026 0.011 0.012
-0.163 8.024 0.012
-0.163 -0.166 8.022
ATOMIC_POSITIONS crystal
S 0.182 0.537 0.407
Y 0.753 0.432 0.923
S 0.407 0.182 0.537
Y 0.077 0.247 0.568
S 0.081 0.314 0.910
S 0.463 0.593 0.818
S 0.818 0.463 0.593
Y 0.568 0.077 0.247
S 0.314 0.910 0.081
S 0.090 0.919 0.686
Er 0.500 0.500 0.500
S 0.686 0.090 0.919
S 0.910 0.081 0.314
S 0.919 0.686 0.090
Y 0.247 0.568 0.077
Y 0.432 0.923 0.753
Y 0.923 0.753 0.432
S 0.593 0.818 0.463
S 0.537 0.407 0.182
Er 0.000 0.000 0.000
```

=====

[5]
Computed, not measured: Y3Er4S8 after structural relaxation at the PBE level of DFT. Values from VASP.

Summary:
Electronic total energy in eV/atom: -6.752
DOS at the Fermi energy in states/eV/cell: 6.270
ΔE_f (raw) in meV per atom: -2041
Density in g/cm3: 5.98

```
&SYSTEM
  ibrav = 0, nat = 15, ntyp = 3
/
ATOMIC_SPECIES
Er 167.26 Er.upf
Y 88.91 Y.upf
S 32.06 S.upf
CELL_PARAMETERS angstrom
7.756 -0.107 -0.154
-3.782 6.778 0.128
-3.782 -2.233 6.401
ATOMIC_POSITIONS crystal
Er 0.000 0.000 0.500
Y 0.500 0.500 0.000
Y 0.500 0.000 0.500
Er 0.000 0.000 0.000
S 0.000 0.250 0.750
S 0.000 0.750 0.250
S 0.500 0.248 0.752
Er 0.500 0.000 0.000
S 0.501 0.752 0.752
Er 0.000 0.500 0.000
S 0.997 0.248 0.248
Y 0.500 0.500 0.500
S 0.499 0.248 0.248
S 0.500 0.752 0.248
S 0.003 0.752 0.752
```

=====

[6]
Computed, not measured: YErS3 after structural relaxation at the PBE level of DFT. Values from VASP.

Summary:
Electronic total energy in eV/atom: -6.699
DOS at the Fermi energy in states/eV/cell: 0.000
ΔE_f (raw) in meV per atom: -2017
Density in g/cm3: 4.90

```
&SYSTEM
  ibrav = 0, nat = 10, ntyp = 3
/
ATOMIC_SPECIES
S 32.06 S.upf
Er 167.26 Er.upf
Y 88.91 Y.upf
CELL_PARAMETERS angstrom
3.955 0.000 1.010
1.139 7.726 3.787
0.027 0.727 8.146
ATOMIC_POSITIONS crystal
S 0.733 0.844 0.690
S 0.045 0.138 0.773
Er 0.147 0.739 0.966
S 0.356 0.474 0.815
S 0.267 0.156 0.310
Y 0.370 0.790 0.470
Er 0.853 0.261 0.034
S 0.955 0.862 0.227
Y 0.630 0.210 0.530
S 0.644 0.526 0.185
```

=====

What did the third record say?
Computed, not measured: Y5ErS6 after structural relaxation at the PBE level of DFT. Values from VASP.

Summary:
Electronic total energy in eV/atom: -7.130
DOS at the Fermi energy in states/eV/cell: 4.409
ΔE_f (raw) in meV per atom: -1992
Density in g/cm3: 5.27

```
&SYSTEM
  ibrav = 0, nat = 12, ntyp = 3
/
ATOMIC_SPECIES
S 32.06 S.upf
Y 88.91 Y.upf
Er 167.26 Er.upf
CELL_PARAMETERS angstrom
-3.563 -3.434 -4.610
-6.019 -1.709 2.586
-5.293 4.182 -0.693
ATOMIC_POSITIONS crystal
S 0.248 0.917 0.670
Y 0.000 0.333 0.334
S 0.751 0.753 0.000
S 0.752 0.083 0.330
Y 0.500 0.500 0.000
Y 0.000 0.667 0.666
Y 0.500 0.168 0.663
S 0.752 0.413 0.670
Er 0.000 0.000 0.000
S 0.249 0.247 0.000
Y 0.500 0.832 0.337
S 0.248 0.587 0.330
```

=====

Among the records above, which one has the lowest density? Y3ErS6

=====

What is the ΔE_f (raw) in the third record? -1992 meV per atom